[1]
Entry from the Alexandria database: Ba2PuTiO6 after structural relaxation (PBE-GGA).

Lattice parameters (Å, degrees): 8.430 8.430 8.430 90.00 90.00 90.00
Space group Fm-3m (No. 225)
One atom of each set of equivalent atoms:
1 Ba 0.250 0.250 0.250 (multiplicity 8)
2 Pu 0.000 0.000 0.000 (multiplicity 4)
3 Ti 0.000 0.000 0.500 (multiplicity 4)
4 O 0.000 0.000 0.262 (multiplicity 24)

Properties
The density of states at the Fermi level comes out at 0.00 states/eV/f.u. The calculation puts the formation energy from raw total energies at -3010 meV per atom. For the total moment, the calculation gives 0.400 μB/atom.

[2]
Entry from the Alexandria database: BaPuTiO6 after structural relaxation (PBE-GGA).

Lattice parameters (Å, degrees): 5.4652 5.4652 11.4732 90.00 90.00 120.00
Space group P-31c (No. 163)
One atom of each set of equivalent atoms:
1 Ba 0.0000 0.0000 0.0000 (multiplicity 2)
2 Pu 0.3333 0.6667 0.2500 (multiplicity 2)
3 Ti 0.3333 0.6667 0.7500 (multiplicity 2)
4 O 0.0108 0.3876 0.6540 (multiplicity 12)

Properties
The density of states at the Fermi level comes out at 7.81 states/eV/f.u. The calculation puts the formation energy from raw total energies at -2846 meV per atom. For the total moment, the calculation gives 0.222 μB/atom.

[3]
Entry from the Alexandria database: Ba4PuTi3O12 after structural relaxation (PBE-GGA).

Lattice parameters (Å, degrees): 8.257 8.257 8.257 90.00 90.00 90.00
Space group Im-3m (No. 229)
One atom of each set of equivalent atoms:
1 Ba 0.250 0.250 0.250 (multiplicity 8)
2 Pu 0.000 0.000 0.000 (multiplicity 2)
3 Ti 0.000 0.000 0.500 (multiplicity 6)
4 O 0.000 0.000 0.263 (multiplicity 12)
5 O 0.000 0.250 0.500 (multiplicity 12)

Properties
The density of states at the Fermi level comes out at 0.50 states/eV/f.u. The calculation puts the formation energy from raw total energies at -3013 meV per atom. For the total moment, the calculation gives 0.200 μB/atom.

[4]
Entry from the Alexandria database: Ba2PuTiO6 after structural relaxation (PBE-GGA).

Lattice parameters (Å, degrees): 4.234 4.234 8.483 90.00 90.00 90.00
Space group P4/mmm (No. 123)
One atom of each set of equivalent atoms:
1 Ba 0.000 0.000 0.225 (multiplicity 2)
2 Pu 0.500 0.500 0.500 (multiplicity 1)
3 Ti 0.500 0.500 0.000 (multiplicity 1)
4 O 0.000 0.500 0.000 (multiplicity 2)
5 O 0.000 0.500 0.500 (multiplicity 2)
6 O 0.500 0.500 0.230 (multiplicity 2)

Properties
The density of states at the Fermi level comes out at 4.30 states/eV/f.u. The calculation puts the formation energy from raw total energies at -2984 meV per atom. For the total moment, the calculation gives 0.395 μB/atom.

[5]
Entry from the Alexandria database: BaPuTl2O8 after structural relaxation (PBE-GGA).

Lattice parameters (Å, degrees): 5.188 5.374 7.495 96.99 91.01 91.52
Space group P-1 (No. 2)
One atom of each set of equivalent atoms:
1 Ba 0.000 0.000 0.000 (multiplicity 1)
2 Pu 0.000 0.000 0.500 (multiplicity 1)
3 Tl 0.492 0.495 0.729 (multiplicity 2)
4 O 0.139 0.789 0.297 (multiplicity 2)
5 O 0.152 0.818 0.674 (multiplicity 2)
6 O 0.332 0.274 0.506 (multiplicity 2)
7 O 0.444 0.274 0.033 (multiplicity 2)

Properties
The density of states at the Fermi level comes out at 4.82 states/eV/f.u. The calculation puts the formation energy from raw total energies at -1508 meV per atom. For the total moment, the calculation gives 0.117 μB/atom.

[6]
Entry from the Alexandria database: Ba3Pu2TlO9 after structural relaxation (PBE-GGA).

Lattice parameters (Å, degrees): 6.2153 6.2153 7.6336 90.00 90.00 120.00
Space group P-3m1 (No. 164)
One atom of each set of equivalent atoms:
1 Ba 0.0000 0.0000 0.0000 (multiplicity 1)
2 Ba 0.3333 0.6667 0.6505 (multiplicity 2)
3 Pu 0.3333 0.6667 0.1627 (multiplicity 2)
4 Tl 0.0000 0.0000 0.5000 (multiplicity 1)
5 O 0.0000 0.5000 0.0000 (multiplicity 3)
6 O 0.1735 0.3470 0.3255 (multiplicity 6)

Properties
The density of states at the Fermi level comes out at 10.94 states/eV/f.u. The calculation puts the formation energy from raw total energies at -2543 meV per atom. For the total moment, the calculation gives 0.467 μB/atom.

[7]
Entry from the Alexandria database: Ba4Pu3TlO12 after structural relaxation (PBE-GGA).

Lattice parameters (Å, degrees): 8.925 8.925 8.925 90.00 90.00 90.00
Space group Im-3m (No. 229)
One atom of each set of equivalent atoms:
1 Ba 0.250 0.250 0.250 (multiplicity 8)
2 Pu 0.000 0.000 0.500 (multiplicity 6)
3 Tl 0.000 0.000 0.000 (multiplicity 2)
4 O 0.000 0.000 0.278 (multiplicity 12)
5 O 0.000 0.250 0.500 (multiplicity 12)

Properties
The density of states at the Fermi level comes out at 16.74 states/eV/f.u. The calculation puts the formation energy from raw total energies at -2651 meV per atom. For the total moment, the calculation gives 0.450 μB/atom.

[8]
Entry from the Alexandria database: BaPu3Tl2O12 after structural relaxation (PBE-GGA).

Lattice parameters (Å, degrees): 8.0729 8.0729 17.4405 90.00 90.00 120.00
Space group R-3m (No. 166, hexagonal axes)
One atom of each set of equivalent atoms:
1 Ba 0.0000 0.0000 0.0000 (multiplicity 3)
2 Pu 0.0000 0.5000 0.5000 (multiplicity 9)
3 Tl 0.0000 0.0000 0.3823 (multiplicity 6)
4 O 0.0534 0.5267 0.3953 (multiplicity 18)
5 O 0.0888 0.5444 0.8100 (multiplicity 18)

Properties
The density of states at the Fermi level comes out at 4.92 states/eV/f.u. The calculation puts the formation energy from raw total energies at -2231 meV per atom. For the total moment, the calculation gives 0.222 μB/atom.

[9]
Entry from the Alexandria database: BaTmPu2O8 after structural relaxation (PBE-GGA).

Lattice parameters (Å, degrees): 5.530 5.530 10.683 90.00 90.00 90.00
Space group I-4m2 (No. 119)
One atom of each set of equivalent atoms:
1 Ba 0.000 0.000 0.000 (multiplicity 2)
2 Tm 0.000 0.500 0.750 (multiplicity 2)
3 Pu 0.000 0.000 0.500 (multiplicity 2)
4 Pu 0.000 0.500 0.250 (multiplicity 2)
5 O 0.220 0.233 0.369 (multiplicity 16)

Properties
The density of states at the Fermi level comes out at 11.10 states/eV/f.u. The calculation puts the formation energy from raw total energies at -2745 meV per atom. For the total moment, the calculation gives 0.417 μB/atom.

[10]
Entry from the Alexandria database: Ba3TmPu2O9 after structural relaxation (PBE-GGA).

Lattice parameters (Å, degrees): 6.1767 6.1767 7.5770 90.00 90.00 120.00
Space group P-3m1 (No. 164)
One atom of each set of equivalent atoms:
1 Ba 0.0000 0.0000 0.0000 (multiplicity 1)
2 Ba 0.3333 0.6667 0.6574 (multiplicity 2)
3 Tm 0.0000 0.0000 0.5000 (multiplicity 1)
4 Pu 0.3333 0.6667 0.1679 (multiplicity 2)
5 O 0.0000 0.5000 0.0000 (multiplicity 3)
6 O 0.1692 0.3383 0.3311 (multiplicity 6)

Properties
The density of states at the Fermi level comes out at 8.72 states/eV/f.u. The calculation puts the formation energy from raw total energies at -3051 meV per atom. For the total moment, the calculation gives 0.467 μB/atom.